--- A ---
A relaxed InNi2HRh crystal, computed with PBE-GGA.

The density of states at the Fermi level is 4.6 states/eV/f.u.

The space group is P4/mmm (No. 123) and the conventional cell measures 3.8536, 3.8536 and 3.9026 Å, with angles of 90.00, 90.00 and 90.00 degrees. The distinct sites, in fractional coordinates, are In at (0.0000, 0.0000, 0.0000), Ni at (0.0000, 0.5000, 0.5000), H at (0.5000, 0.5000, 0.5000) and Rh at (0.5000, 0.5000, 0.0000).



--- B ---
A relaxed InNi2HRh crystal, computed with PBE-GGA.

The density of states at the Fermi level is 4.8 states/eV/f.u.

The space group is P4/mmm (No. 123) and the conventional cell measures 3.7205, 3.7205 and 4.2797 Å, with angles of 90.00, 90.00 and 90.00 degrees. The distinct sites, in fractional coordinates, are In at (0.0000, 0.0000, 0.0000), Ni at (0.0000, 0.5000, 0.5000), H at (0.0000, 0.0000, 0.5000) and Rh at (0.5000, 0.5000, 0.0000).



The most stable structure shown above is A; the least stable is B.